*i*
This record from Alexandria describes an optimized crystal structure of TbNd3Tm3. The functional is PBE.

Structure (POSCAR):
```
TbNd3Tm3
1.0
9.6140 0.0000 0.0000
-4.8070 8.3260 0.0000
0.0000 0.0000 5.7388
Tb Nd Tm
2 6 6
Direct
0.3333 0.6667 0.2500
0.6667 0.3333 0.7500
0.0501 0.8064 0.2500
0.1936 0.2437 0.2500
0.2437 0.0501 0.7500
0.7563 0.9499 0.2500
0.8064 0.7563 0.7500
0.9499 0.1936 0.7500
0.0954 0.6158 0.7500
0.3842 0.4796 0.7500
0.4796 0.0954 0.2500
0.5204 0.9046 0.7500
0.6158 0.5204 0.2500
0.9046 0.3842 0.2500
```

Computed properties:
- Volume: 32.81 A^3/atom
- Density of states at the Fermi level: 1.747 states/eV per atom
- Space-group type: P6_3/m (176)

***

*ii*
This record from Alexandria describes an optimized crystal structure of TbNd3Tm3. The functional is PBE.

Structure (POSCAR):
```
TbNd3Tm3
1.0
3.0974 1.7883 14.4120
-3.0974 1.7883 14.4120
0.0000 -3.5766 14.4120
Tb Nd Tm
2 6 6
Direct
0.1667 0.1667 0.1667
0.8333 0.8333 0.8333
0.0389 0.7006 0.3692
0.2994 0.6308 0.9611
0.3692 0.0389 0.7006
0.6308 0.9611 0.2994
0.7006 0.3692 0.0389
0.9611 0.2994 0.6308
0.1021 0.4355 0.7686
0.2314 0.8979 0.5645
0.4355 0.7686 0.1021
0.5645 0.2314 0.8979
0.7686 0.1021 0.4355
0.8979 0.5645 0.2314
```

Computed properties:
- Volume: 34.21 A^3/atom
- Density of states at the Fermi level: 1.613 states/eV per atom
- Space-group type: R-3 (148)

***

Most stable pick: *i*. Distance to second place: 153 meV/atom.

***

*i*
This record from Alexandria describes an optimized crystal structure of Tb3Nd4Tm4. The functional is PBE.

Structure (POSCAR):
```
Tb3Nd4Tm4
1.0
10.6490 0.0000 0.0000
0.0000 2.8390 6.0097
0.0000 -2.8390 6.0097
Tb Nd Tm
3 4 4
Direct
0.0000 0.0000 0.0000
0.2873 0.1576 0.1576
0.7127 0.1576 0.1576
0.0000 0.7067 0.7067
0.2092 0.5011 0.5011
0.5000 0.6275 0.6275
0.7908 0.5011 0.5011
0.0000 0.3002 0.3002
0.3035 0.8503 0.8503
0.5000 0.3547 0.3547
0.6965 0.8503 0.8503
```

Computed properties:
- Volume: 33.03 A^3/atom
- Density of states at the Fermi level: 1.478 states/eV per atom
- Space-group type: Amm2 (38)

***

*ii*
This record from Alexandria describes an optimized crystal structure of Tb3Nd4Tm4. The functional is PBE.

Structure (POSCAR):
```
Tb3Nd4Tm4
1.0
19.8458 -1.7926 0.0000
19.8458 1.7926 0.0000
-0.6397 0.0000 5.0016
Tb Nd Tm
3 4 4
Direct
0.0000 0.0000 0.0000
0.3637 0.3637 0.3640
0.6363 0.6363 0.6360
0.1825 0.1825 0.1822
0.4541 0.4541 0.4545
0.5459 0.5459 0.5455
0.8175 0.8175 0.8178
0.0918 0.0918 0.0913
0.2720 0.2720 0.2722
0.7280 0.7280 0.7278
0.9082 0.9082 0.9087
```

Computed properties:
- Volume: 32.35 A^3/atom
- Density of states at the Fermi level: 1.286 states/eV per atom
- Space-group type: C2/m (12)

***

Most stable pick: *ii*. Distance to second place: 132 meV/atom.

***

*i*
This record from Alexandria describes an optimized crystal structure of TbNd7Tm3. The functional is PBE.

Structure (POSCAR):
```
TbNd7Tm3
1.0
6.3803 -5.7056 0.0000
6.3803 5.7056 0.0000
-2.7208 0.0000 5.2325
Tb Nd Tm
1 7 3
Direct
0.0000 0.0000 0.0000
0.0000 0.0000 0.5000
0.0971 0.5188 0.8080
0.2923 0.2923 0.2935
0.4812 0.9029 0.1920
0.5188 0.0971 0.8080
0.7077 0.7077 0.7065
0.9029 0.4812 0.1920
0.2957 0.7043 0.5000
0.5000 0.5000 0.0000
0.7043 0.2957 0.5000
```

Computed properties:
- Volume: 34.63 A^3/atom
- Density of states at the Fermi level: 1.303 states/eV per atom
- Space-group type: C2/m (12)

***

*ii*
This record from Alexandria describes an optimized crystal structure of TbNd7Tm3. The functional is PBE.

Structure (POSCAR):
```
TbNd7Tm3
1.0
7.1970 0.0000 0.0000
3.5946 9.6264 0.0000
3.5908 4.0334 11.2728
Tb Nd Tm
2 14 6
Direct
0.0000 0.0000 0.0000
0.0000 0.5000 0.5000
0.0802 0.3069 0.0286
0.0808 0.8072 0.5258
0.2207 0.2501 0.7500
0.3343 0.0456 0.2732
0.3462 0.5461 0.7732
0.4139 0.6928 0.9744
0.4158 0.1930 0.4714
0.5842 0.8070 0.5286
0.5861 0.3072 0.0256
0.6538 0.4539 0.2268
0.6657 0.9544 0.7268
0.7793 0.7499 0.2500
0.9192 0.1928 0.4742
0.9198 0.6931 0.9714
0.1672 0.4335 0.2254
0.1743 0.9337 0.7254
0.5000 0.0000 0.0000
0.5000 0.5000 0.5000
0.8257 0.0663 0.2746
0.8328 0.5665 0.7746
```

Computed properties:
- Volume: 35.50 A^3/atom
- Density of states at the Fermi level: 1.513 states/eV per atom
- Space-group type: P-1 (2)

***

Most stable pick: *ii*. Distance to second place: 43 meV/atom.

***

*i*
This record from Alexandria describes an optimized crystal structure of Tb4Nd2Tm5. The functional is PBE.

Structure (POSCAR):
```
Tb4Nd2Tm5
1.0
-1.7447 4.5041 11.5407
1.7447 -4.5041 11.5407
1.7447 4.5041 -11.5407
Tb Nd Tm
4 2 5
Direct
0.0970 0.0970 0.0000
0.1942 0.5000 0.6942
0.8058 0.5000 0.3058
0.9030 0.9030 0.0000
0.2326 0.2326 0.0000
0.7674 0.7674 0.0000
0.1662 0.3591 0.8071
0.4481 0.6409 0.8071
0.5000 0.0000 0.5000
0.5519 0.3591 0.1929
0.8338 0.6409 0.1929
```

Computed properties:
- Volume: 32.98 A^3/atom
- Density of states at the Fermi level: 1.543 states/eV per atom
- Space-group type: Immm (71)

***

*ii*
This record from Alexandria describes an optimized crystal structure of Tb4Nd2Tm5. The functional is PBE.

Structure (POSCAR):
```
Tb4Nd2Tm5
1.0
11.6367 -1.7733 0.0000
11.6367 1.7733 0.0000
-2.1368 0.0000 8.4235
Tb Nd Tm
4 2 5
Direct
0.0462 0.0462 0.3601
0.3178 0.3178 0.5464
0.6822 0.6822 0.4536
0.9538 0.9538 0.6399
0.4080 0.4080 0.2694
0.5920 0.5920 0.7306
0.1368 0.1368 0.0922
0.2285 0.2285 0.8203
0.5000 0.5000 0.0000
0.7715 0.7715 0.1797
0.8632 0.8632 0.9078
```

Computed properties:
- Volume: 31.60 A^3/atom
- Density of states at the Fermi level: 1.336 states/eV per atom
- Space-group type: C2/m (12)

***

Most stable pick: *ii*. Distance to second place: 208 meV/atom.

***

*i*
This record from Alexandria describes an optimized crystal structure of Tb8NdTm2. The functional is PBE.

Structure (POSCAR):
```
Tb8NdTm2
1.0
4.5166 -8.2214 0.0000
4.5166 8.2214 0.0000
-3.4110 0.0000 4.8146
Tb Nd Tm
8 1 2
Direct
0.0983 0.3437 0.6902
0.2049 0.7951 0.0000
0.3437 0.0983 0.6902
0.4363 0.4363 0.2086
0.5637 0.5637 0.7914
0.6563 0.9017 0.3098
0.7951 0.2049 0.0000
0.9017 0.6563 0.3098
0.0000 0.0000 0.0000
0.3104 0.6896 0.5000
0.6896 0.3104 0.5000
```

Computed properties:
- Volume: 32.51 A^3/atom
- Density of states at the Fermi level: 1.506 states/eV per atom
- Space-group type: C2/m (12)

***

*ii*
This record from Alexandria describes an optimized crystal structure of Tb8NdTm2. The functional is PBE.

Structure (POSCAR):
```
Tb8NdTm2
1.0
-2.7628 4.0696 7.9388
2.7628 -4.0696 7.9388
2.7628 4.0696 -7.9388
Tb Nd Tm
8 1 2
Direct
0.1551 0.3609 0.7941
0.1645 0.1645 0.0000
0.2957 0.0000 0.2957
0.4332 0.6391 0.7941
0.5668 0.3609 0.2059
0.7043 0.0000 0.7043
0.8355 0.8355 0.0000
0.8449 0.6391 0.2059
0.0000 0.5000 0.5000
0.3007 0.8007 0.5000
0.6993 0.1993 0.5000
```

Computed properties:
- Volume: 32.46 A^3/atom
- Density of states at the Fermi level: 1.449 states/eV per atom
- Space-group type: Immm (71)

***

Most stable pick: *ii*. Distance to second place: 39 meV/atom.

***

*i*
This record from Alexandria describes an optimized crystal structure of Tb5Nd2Tm3. The functional is PBE.

Structure (POSCAR):
```
Tb5Nd2Tm3
1.0
-4.6822 10.8368 3.3895
4.6822 -10.8368 3.3895
4.6822 10.8368 -3.3895
Tb Nd Tm
10 4 6
Direct
0.0004 0.2500 0.7504
0.9996 0.7500 0.2496
0.1250 0.0902 0.2152
0.2500 0.2500 0.0000
0.3750 0.5902 0.9653
0.4996 0.2500 0.2496
0.5004 0.7500 0.7504
0.6250 0.4098 0.0347
0.7500 0.7500 0.0000
0.8750 0.9098 0.7848
0.1241 0.3976 0.5217
0.3759 0.8976 0.2736
0.6241 0.1024 0.7264
0.8759 0.6024 0.4783
0.1228 0.7492 0.8719
0.2500 0.7500 0.5000
0.3772 0.2492 0.6264
0.6228 0.7508 0.3736
0.7500 0.2500 0.5000
0.8772 0.2508 0.1281
```

Computed properties:
- Volume: 34.40 A^3/atom
- Density of states at the Fermi level: 1.481 states/eV per atom
- Space-group type: Ibam (72)

***

*ii*
This record from Alexandria describes an optimized crystal structure of Tb5Nd2Tm3. The functional is PBE.

Structure (POSCAR):
```
Tb5Nd2Tm3
1.0
5.3284 -7.9665 0.0000
5.3284 7.9665 0.0000
-5.2720 0.0000 7.7624
Tb Nd Tm
10 4 6
Direct
0.0302 0.9698 0.7500
0.1136 0.3444 0.7147
0.2269 0.7731 0.7500
0.2679 0.7321 0.2500
0.3444 0.1136 0.2147
0.6556 0.8864 0.7853
0.7321 0.2679 0.7500
0.7731 0.2269 0.2500
0.8864 0.6556 0.2853
0.9698 0.0302 0.2500
0.2342 0.4854 0.4536
0.4854 0.2342 0.9536
0.5146 0.7658 0.0464
0.7658 0.5146 0.5464
0.0398 0.2782 0.0476
0.2782 0.0398 0.5476
0.4756 0.5244 0.2500
0.5244 0.4756 0.7500
0.7218 0.9602 0.4524
0.9602 0.7218 0.9524
```

Computed properties:
- Volume: 32.95 A^3/atom
- Density of states at the Fermi level: 1.766 states/eV per atom
- Space-group type: C2/c (15)

***

Most stable pick: *ii*. Distance to second place: 213 meV/atom.

***

*i*
This record from Alexandria describes an optimized crystal structure of Tb2Nd3Tm. The functional is PBE.

Structure (POSCAR):
```
Tb2Nd3Tm
1.0
5.4403 -3.1382 0.0000
5.4403 3.1382 0.0000
0.0000 0.0000 11.6310
Tb Nd Tm
4 6 2
Direct
0.0004 0.3332 0.2500
0.9996 0.6668 0.7500
0.3332 0.0004 0.7500
0.6668 0.9996 0.2500
0.0000 0.0000 0.0000
0.0000 0.0000 0.5000
0.3343 0.3343 0.0000
0.3343 0.3343 0.5000
0.6657 0.6657 0.0000
0.6657 0.6657 0.5000
0.3332 0.6668 0.2500
0.6668 0.3332 0.7500
```

Computed properties:
- Volume: 33.10 A^3/atom
- Density of states at the Fermi level: 1.200 states/eV per atom
- Space-group type: Cmcm (63)

***

*ii*
This record from Alexandria describes an optimized crystal structure of Tb2Nd3Tm. The functional is PBE.

Structure (POSCAR):
```
Tb2Nd3Tm
1.0
2.5636 -7.6708 0.0000
2.5636 7.6708 0.0000
0.0000 0.0000 5.0618
Tb Nd Tm
2 3 1
Direct
0.1663 0.8337 0.0000
0.8337 0.1663 0.0000
0.0000 0.0000 0.5000
0.3337 0.6663 0.5000
0.6663 0.3337 0.5000
0.5000 0.5000 0.0000
```

Computed properties:
- Volume: 33.18 A^3/atom
- Density of states at the Fermi level: 1.320 states/eV per atom
- Space-group type: Cmmm (65)

***

Most stable pick: *i*. Distance to second place: 22 meV/atom.

***

*i*
This record from Alexandria describes an optimized crystal structure of Tb7Nd3Tm. The functional is PBE.

Structure (POSCAR):
```
Tb7Nd3Tm
1.0
6.9737 0.0000 0.0000
0.0000 5.5577 0.0000
-3.2773 0.0000 9.4712
Tb Nd Tm
7 3 1
Direct
0.0000 0.0000 0.0000
0.1484 0.5000 0.2893
0.3225 0.5000 0.6355
0.4251 0.0000 0.8287
0.5749 0.0000 0.1713
0.6775 0.5000 0.3645
0.8516 0.5000 0.7107
0.0000 0.0000 0.5000
0.2798 0.5000 0.9957
0.7202 0.5000 0.0043
0.5000 0.0000 0.5000
```

Computed properties:
- Volume: 33.37 A^3/atom
- Density of states at the Fermi level: 1.436 states/eV per atom
- Space-group type: P2/m (10)

***

*ii*
This record from Alexandria describes an optimized crystal structure of Tb7Nd3Tm. The functional is PBE.

Structure (POSCAR):
```
Tb7Nd3Tm
1.0
7.0969 0.0000 0.0000
-3.5485 6.1461 0.0000
0.0000 0.0000 8.6985
Tb Nd Tm
7 3 1
Direct
0.0000 0.0000 0.0000
0.1658 0.3317 0.6762
0.1658 0.8342 0.6762
0.5009 0.0018 0.0022
0.5009 0.4991 0.0022
0.6683 0.8342 0.6762
0.9982 0.4991 0.0022
0.3336 0.1668 0.3401
0.8332 0.1668 0.3401
0.8332 0.6664 0.3401
0.6667 0.3333 0.6795
```

Computed properties:
- Volume: 34.49 A^3/atom
- Density of states at the Fermi level: 1.490 states/eV per atom
- Space-group type: P3m1 (156)

***

Most stable pick: *i*. Distance to second place: 33 meV/atom.

***

*i*
This record from Alexandria describes an optimized crystal structure of Tb6NdTm. The functional is PBE.

Structure (POSCAR):
```
Tb6NdTm
1.0
4.9920 -3.4277 0.0000
4.9920 3.4277 0.0000
-2.0142 0.0000 8.2443
Tb Nd Tm
6 1 1
Direct
0.0421 0.5670 0.1974
0.1281 0.1281 0.4246
0.4330 0.9579 0.8026
0.5670 0.0421 0.1974
0.8719 0.8719 0.5754
0.9579 0.4330 0.8026
0.5000 0.5000 0.5000
0.5000 0.5000 0.0000
```

Computed properties:
- Volume: 35.27 A^3/atom
- Density of states at the Fermi level: 1.409 states/eV per atom
- Space-group type: C2/m (12)

***

*ii*
This record from Alexandria describes an optimized crystal structure of Tb6NdTm. The functional is PBE.

Structure (POSCAR):
```
Tb6NdTm
1.0
5.0467 0.0000 0.0000
0.0000 5.0467 0.0000
0.0000 0.0000 10.0793
Tb Nd Tm
6 1 1
Direct
0.0000 0.0000 0.0000
0.0000 0.0000 0.5000
0.0000 0.5000 0.2468
0.0000 0.5000 0.7532
0.5000 0.0000 0.2468
0.5000 0.0000 0.7532
0.5000 0.5000 0.5000
0.5000 0.5000 0.0000
```

Computed properties:
- Volume: 32.09 A^3/atom
- Density of states at the Fermi level: 1.599 states/eV per atom
- Space-group type: P4/mmm (123)

***

Most stable pick: *ii*. Distance to second place: 347 meV/atom.

***

*i*
This record from Alexandria describes an optimized crystal structure of Tb6NdTm2. The functional is PBE.

Structure (POSCAR):
```
Tb6NdTm2
1.0
6.4337 -3.7156 0.0000
6.4337 3.7156 0.0000
-0.0011 0.0000 6.0490
Tb Nd Tm
6 1 2
Direct
0.1234 0.6876 0.7059
0.3123 0.3123 0.2932
0.3124 0.8766 0.2941
0.6876 0.1234 0.7059
0.6877 0.6877 0.7068
0.8766 0.3124 0.2941
0.5000 0.5000 0.0000
0.1660 0.1660 0.7859
0.8340 0.8340 0.2141
```

Computed properties:
- Volume: 32.13 A^3/atom
- Density of states at the Fermi level: 1.567 states/eV per atom
- Space-group type: C2/m (12)

***

*ii*
This record from Alexandria describes an optimized crystal structure of Tb6NdTm2. The functional is PBE.

Structure (POSCAR):
```
Tb6NdTm2
1.0
9.2402 -1.7808 0.0000
9.2402 1.7808 0.0000
-0.0227 0.0000 8.7028
Tb Nd Tm
6 1 2
Direct
0.1107 0.1107 0.1647
0.2216 0.2216 0.8348
0.3326 0.3326 0.5005
0.6674 0.6674 0.4995
0.7784 0.7784 0.1652
0.8893 0.8893 0.8353
0.0000 0.0000 0.5000
0.4444 0.4444 0.1644
0.5556 0.5556 0.8356
```

Computed properties:
- Volume: 31.82 A^3/atom
- Density of states at the Fermi level: 1.399 states/eV per atom
- Space-group type: C2/m (12)

***

Most stable pick: *ii*. Distance to second place: 216 meV/atom.